Record 1
Below is a relaxed FePd2Pb4 crystal, with properties calculated at the PBE level.

The structure in CIF format:
```
data_FePd2Pb4
_chemical_formula_sum 'Fe2 Pd4 Pb8'
_cell_length_a 5.186
_cell_length_b 5.186
_cell_length_c 13.323
_cell_angle_alpha 90.00
_cell_angle_beta 90.00
_cell_angle_gamma 90.00
_space_group_name_H-M_alt 'I 4/m m m'
_space_group_IT_number 139
_space_group_name_Hall '-I 4 2'
loop_
_atom_site_label
_atom_site_type_symbol
_atom_site_fract_x
_atom_site_fract_y
_atom_site_fract_z
Fe1 Fe 0.000 0.000 0.000
Pd1 Pd 0.000 0.000 0.394
Pb1 Pb 0.000 0.000 0.194
Pb2 Pb 0.000 0.500 0.000
```

- Formation energy from the elements: 206 meV/atom
- Density of states at the Fermi level: 0.41 states/eV/atom
- Volume: 358.36 Å³/cell

---

Record 2
Below is a relaxed FePd2Pb2 crystal, with properties calculated at the PBE level.

The structure in CIF format:
```
data_FePd2Pb2
_chemical_formula_sum 'Fe2 Pd4 Pb4'
_cell_length_a 6.910
_cell_length_b 6.910
_cell_length_c 4.303
_cell_angle_alpha 90.00
_cell_angle_beta 90.00
_cell_angle_gamma 90.00
_space_group_name_H-M_alt 'P 4/m b m'
_space_group_IT_number 127
_space_group_name_Hall '-P 4 2ab'
loop_
_atom_site_label
_atom_site_type_symbol
_atom_site_fract_x
_atom_site_fract_y
_atom_site_fract_z
Fe1 Fe 0.000 0.000 0.000
Pd1 Pd 0.144 0.356 0.000
Pb1 Pb 0.170 0.670 0.500
```

- Formation energy from the elements: 133 meV/atom
- Density of states at the Fermi level: 1.02 states/eV/atom
- Volume: 205.44 Å³/cell

---

Record 3
Below is a relaxed Fe2Pd9Pb crystal, with properties calculated at the PBE level.

The structure in CIF format:
```
data_Fe2Pd9Pb
_chemical_formula_sum 'Fe2 Pd9 Pb1'
_cell_length_a 3.977
_cell_length_b 3.977
_cell_length_c 11.854
_cell_angle_alpha 90.00
_cell_angle_beta 90.00
_cell_angle_gamma 90.00
_space_group_name_H-M_alt 'P 4/m m m'
_space_group_IT_number 123
_space_group_name_Hall '-P 4 2'
loop_
_atom_site_label
_atom_site_type_symbol
_atom_site_fract_x
_atom_site_fract_y
_atom_site_fract_z
Fe1 Fe 0.000 0.000 0.160
Pd1 Pd 0.000 0.500 0.000
Pd2 Pd 0.000 0.500 0.318
Pd3 Pd 0.500 0.500 0.160
Pd4 Pd 0.500 0.500 0.500
Pb1 Pb 0.000 0.000 0.500
```

- Formation energy from the elements: -143 meV/atom
- Density of states at the Fermi level: 0.64 states/eV/atom
- Volume: 187.48 Å³/cell

---

Record 4
Below is a relaxed Fe2Pd8Pb crystal, with properties calculated at the PBE level.

The structure in CIF format:
```
data_Fe2Pd8Pb
_chemical_formula_sum 'Fe4 Pd16 Pb2'
_cell_length_a 14.165
_cell_length_b 4.022
_cell_length_c 6.289
_cell_angle_alpha 90.00
_cell_angle_beta 105.83
_cell_angle_gamma 90.00
_space_group_name_H-M_alt 'C 1 2/m 1'
_space_group_IT_number 12
_space_group_name_Hall '-C 2y'
loop_
_atom_site_label
_atom_site_type_symbol
_atom_site_fract_x
_atom_site_fract_y
_atom_site_fract_z
Fe1 Fe 0.223 0.000 0.152
Pd1 Pd 0.046 0.000 0.225
Pd2 Pd 0.102 0.500 0.970
Pd3 Pd 0.152 0.000 0.717
Pd4 Pd 0.184 0.500 0.420
Pb1 Pb 0.000 0.500 0.500
```

- Formation energy from the elements: -133 meV/atom
- Density of states at the Fermi level: 0.64 states/eV/atom
- Volume: 344.67 Å³/cell

---

Record 5
Below is a relaxed FePd2Pb crystal, with properties calculated at the PBE level.

The structure in CIF format:
```
data_FePd2Pb
_chemical_formula_sum 'Fe3 Pd6 Pb3'
_cell_length_a 3.0578
_cell_length_b 3.0578
_cell_length_c 28.2420
_cell_angle_alpha 90.00
_cell_angle_beta 90.00
_cell_angle_gamma 120.00
_space_group_name_H-M_alt 'R -3 m'
_space_group_IT_number 166
_space_group_name_Hall '-R 3 2"'
loop_
_atom_site_label
_atom_site_type_symbol
_atom_site_fract_x
_atom_site_fract_y
_atom_site_fract_z
Fe1 Fe 0.0000 0.0000 0.0000
Pd1 Pd 0.0000 0.0000 0.4002
Pb1 Pb 0.0000 0.0000 0.5000
```

- Formation energy from the elements: 215 meV/atom
- Density of states at the Fermi level: 0.79 states/eV/atom
- Volume: 228.68 Å³/cell

---

Record 6
Below is a relaxed FePd2Pb crystal, with properties calculated at the PBE level.

The structure in CIF format:
```
data_FePd2Pb
_chemical_formula_sum 'Fe1 Pd2 Pb1'
_cell_length_a 3.204
_cell_length_b 3.204
_cell_length_c 6.868
_cell_angle_alpha 90.00
_cell_angle_beta 90.00
_cell_angle_gamma 90.00
_space_group_name_H-M_alt 'P 4/m m m'
_space_group_IT_number 123
_space_group_name_Hall '-P 4 2'
loop_
_atom_site_label
_atom_site_type_symbol
_atom_site_fract_x
_atom_site_fract_y
_atom_site_fract_z
Fe1 Fe 0.000 0.000 0.000
Pd1 Pd 0.500 0.500 0.204
Pb1 Pb 0.000 0.000 0.500
```

- Formation energy from the elements: -18 meV/atom
- Density of states at the Fermi level: 0.70 states/eV/atom
- Volume: 70.50 Å³/cell

---

Record 7
Below is a relaxed FePd12Pb3 crystal, with properties calculated at the PBE level.

The structure in CIF format:
```
data_FePd12Pb3
_chemical_formula_sum 'Fe1 Pd12 Pb3'
_cell_length_a 4.064
_cell_length_b 4.064
_cell_length_c 16.193
_cell_angle_alpha 90.00
_cell_angle_beta 90.00
_cell_angle_gamma 90.00
_space_group_name_H-M_alt 'P 4/m m m'
_space_group_IT_number 123
_space_group_name_Hall '-P 4 2'
loop_
_atom_site_label
_atom_site_type_symbol
_atom_site_fract_x
_atom_site_fract_y
_atom_site_fract_z
Fe1 Fe 0.000 0.000 0.000
Pd1 Pd 0.000 0.500 0.113
Pd2 Pd 0.000 0.500 0.371
Pd3 Pd 0.500 0.500 0.000
Pd4 Pd 0.500 0.500 0.244
Pd5 Pd 0.500 0.500 0.500
Pb1 Pb 0.000 0.000 0.242
Pb2 Pb 0.000 0.000 0.500
```

- Formation energy from the elements: -226 meV/atom
- Density of states at the Fermi level: 0.45 states/eV/atom
- Volume: 267.38 Å³/cell

---

Record 8
Below is a relaxed FePd2Pb crystal, with properties calculated at the PBE level.

The structure in CIF format:
```
data_FePd2Pb
_chemical_formula_sum 'Fe4 Pd8 Pb4'
_cell_length_a 3.993
_cell_length_b 3.993
_cell_length_c 18.556
_cell_angle_alpha 90.00
_cell_angle_beta 90.00
_cell_angle_gamma 90.00
_space_group_name_H-M_alt 'I -4 2 d'
_space_group_IT_number 122
_space_group_name_Hall 'I -4 2bw'
loop_
_atom_site_label
_atom_site_type_symbol
_atom_site_fract_x
_atom_site_fract_y
_atom_site_fract_z
Fe1 Fe 0.000 0.000 0.000
Pd1 Pd 0.233 0.250 0.125
Pb1 Pb 0.000 0.000 0.500
```

- Formation energy from the elements: 259 meV/atom
- Density of states at the Fermi level: 0.44 states/eV/atom
- Volume: 295.92 Å³/cell

---

Record 9
Below is a relaxed Fe3PdPb crystal, with properties calculated at the PBE level.

The structure in CIF format:
```
data_Fe3PdPb
_chemical_formula_sum 'Fe3 Pd1 Pb1'
_cell_length_a 4.698
_cell_length_b 4.698
_cell_length_c 4.698
_cell_angle_alpha 90.00
_cell_angle_beta 90.00
_cell_angle_gamma 90.00
_space_group_name_H-M_alt 'P m -3 m'
_space_group_IT_number 221
_space_group_name_Hall '-P 4 2 3'
loop_
_atom_site_label
_atom_site_type_symbol
_atom_site_fract_x
_atom_site_fract_y
_atom_site_fract_z
Fe1 Fe 0.000 0.000 0.500
Pd1 Pd 0.000 0.000 0.000
Pb1 Pb 0.500 0.500 0.500
```

- Formation energy from the elements: 988 meV/atom
- Density of states at the Fermi level: 0.94 states/eV/atom
- Volume: 103.67 Å³/cell
- Energy above the lowest structure with this stoichiometry: 0.000 eV/atom

---

Record 10
Below is a relaxed FePd9Pb2 crystal, with properties calculated at the PBE level.

The structure in CIF format:
```
data_FePd9Pb2
_chemical_formula_sum 'Fe1 Pd9 Pb2'
_cell_length_a 4.051
_cell_length_b 4.051
_cell_length_c 12.058
_cell_angle_alpha 90.00
_cell_angle_beta 90.00
_cell_angle_gamma 90.00
_space_group_name_H-M_alt 'P 4/m m m'
_space_group_IT_number 123
_space_group_name_Hall '-P 4 2'
loop_
_atom_site_label
_atom_site_type_symbol
_atom_site_fract_x
_atom_site_fract_y
_atom_site_fract_z
Fe1 Fe 0.000 0.000 0.000
Pd1 Pd 0.000 0.500 0.152
Pd2 Pd 0.000 0.500 0.500
Pd3 Pd 0.500 0.500 0.000
Pd4 Pd 0.500 0.500 0.328
Pb1 Pb 0.000 0.000 0.326
```

- Formation energy from the elements: -207 meV/atom
- Density of states at the Fermi level: 0.45 states/eV/atom
- Volume: 197.84 Å³/cell

---

Record 11
Below is a relaxed FePdPb3 crystal, with properties calculated at the PBE level.

The structure in CIF format:
```
data_FePdPb3
_chemical_formula_sum 'Fe1 Pd1 Pb3'
_cell_length_a 5.019
_cell_length_b 5.019
_cell_length_c 5.019
_cell_angle_alpha 90.00
_cell_angle_beta 90.00
_cell_angle_gamma 90.00
_space_group_name_H-M_alt 'P m -3 m'
_space_group_IT_number 221
_space_group_name_Hall '-P 4 2 3'
loop_
_atom_site_label
_atom_site_type_symbol
_atom_site_fract_x
_atom_site_fract_y
_atom_site_fract_z
Fe1 Fe 0.000 0.000 0.000
Pd1 Pd 0.500 0.500 0.500
Pb1 Pb 0.000 0.000 0.500
```

- Formation energy from the elements: 413 meV/atom
- Density of states at the Fermi level: 0.40 states/eV/atom
- Volume: 126.44 Å³/cell
- Energy above the lowest structure with this stoichiometry: 0.000 eV/atom

---

Record 12
Below is a relaxed Fe2PdPtPb crystal, with properties calculated at the PBE level.

The structure in CIF format:
```
data_Fe2PdPtPb
_chemical_formula_sum 'Fe2 Pd1 Pt1 Pb1'
_cell_length_a 4.518
_cell_length_b 4.518
_cell_length_c 5.071
_cell_angle_alpha 90.00
_cell_angle_beta 90.00
_cell_angle_gamma 90.00
_space_group_name_H-M_alt 'P 4/m m m'
_space_group_IT_number 123
_space_group_name_Hall '-P 4 2'
loop_
_atom_site_label
_atom_site_type_symbol
_atom_site_fract_x
_atom_site_fract_y
_atom_site_fract_z
Fe1 Fe 0.000 0.500 0.000
Pd1 Pd 0.000 0.000 0.500
Pt1 Pt 0.000 0.000 0.000
Pb1 Pb 0.500 0.500 0.500
```

- Formation energy from the elements: 1204 meV/atom
- Density of states at the Fermi level: 2.14 states/eV/atom
- Volume: 103.49 Å³/cell

---

Which of these has the highest density of states at the Fermi level? Fe2PdPtPb

---

Which formula does entry 9 have? Fe3PdPb